Density functional theory data (PBE) for Ta2CoSb after structural relaxation.

Summary:
D(E_F) = 4.3 states/eV/f.u.

Cell and atoms, written as POSCAR:
```
Ta2CoSb
1.0
3.4941 0.0000 0.0000
0.0000 3.4941 0.0000
0.0000 0.0000 5.6413
Co Sb Ta
1 1 2
direct
0.5000 0.5000 0.2500 Co
0.5000 0.5000 0.7500 Sb
0.0000 0.0000 0.0163 Ta
0.0000 0.0000 0.4837 Ta
```


Density functional theory data (PBE) for TaCoSb after structural relaxation.

Summary:
D(E_F) = 1.8 states/eV/f.u.

Cell and atoms, written as POSCAR:
```
TaCoSb
1.0
-2.4208 1.7937 -3.2275
-4.0206 -1.5930 -0.8897
-3.5858 2.3779 0.9910
Co Sb Ta
1 1 1
direct
0.0000 0.0000 0.0000 Co
0.5000 0.5000 0.5000 Sb
0.7500 0.7500 0.7500 Ta
```


Density functional theory data (PBE) for Ta3CoSb after structural relaxation.

Summary:
D(E_F) = 5.8 states/eV/f.u.
Excess energy over the best structure of this formula in the dataset = 0 meV per atom

Cell and atoms, written as POSCAR:
```
Ta3CoSb
1.0
-0.2629 -4.5819 -0.5075
-0.2392 -0.4941 4.5847
-4.6037 0.2873 -0.2092
Sb Co Ta
1 1 3
direct
0.5000 0.5000 0.5000 Sb
0.0000 0.0000 0.0000 Co
0.0000 0.5000 0.0000 Ta
0.0000 0.0000 0.5000 Ta
0.5000 0.0000 0.0000 Ta
```


Density functional theory data (PBE) for Ta2CoSb after structural relaxation.

Summary:
D(E_F) = 3.1 states/eV/f.u.

Cell and atoms, written as POSCAR:
```
Ta2CoSb
1.0
4.1080 0.0000 0.0000
0.0000 2.9924 0.0301
0.0000 2.3257 5.5706
Co Sb Ta
1 1 2
direct
0.5000 0.2500 0.2500 Co
0.5000 0.7500 0.7500 Sb
0.0000 0.0295 0.0189 Ta
0.0000 0.4705 0.4811 Ta
```


Density functional theory data (PBE) for TaCo2Sb after structural relaxation.

Summary:
D(E_F) = 2.0 states/eV/f.u.

Cell and atoms, written as POSCAR:
```
TaCo2Sb
1.0
3.3659 0.0000 0.0000
0.0000 3.3659 0.0000
0.0000 0.0000 5.3834
Co Sb Ta
2 1 1
direct
0.0000 0.0000 0.9808 Co
0.5000 0.5000 0.2614 Co
0.0000 0.0000 0.4564 Sb
0.5000 0.5000 0.8014 Ta
```


Density functional theory data (PBE) for Ta2CoSb after structural relaxation.

Summary:
D(E_F) = 3.4 states/eV/f.u.

Cell and atoms, written as POSCAR:
```
Ta2CoSb
1.0
-3.1740 -2.8145 -4.9126
4.4474 1.5246 -0.5192
0.8781 -2.9260 -1.0114
Co Sb Ta
1 1 2
direct
0.0000 0.5000 0.5000 Co
0.5000 0.5000 0.0000 Sb
0.0000 0.0000 0.0000 Ta
0.5000 0.0000 0.5000 Ta
```


Density functional theory data (PBE) for Ta2CoSb after structural relaxation.

Summary:
D(E_F) = 4.1 states/eV/f.u.

Cell and atoms, written as POSCAR:
```
Ta2CoSb
1.0
3.0320 0.0107 0.0000
-0.5150 2.9880 0.0000
0.0000 0.0000 7.6188
Co Sb Ta
1 1 2
direct
0.5000 0.5000 0.2500 Co
0.5000 0.5000 0.7500 Sb
0.0000 0.0000 0.0389 Ta
0.0000 0.0000 0.4611 Ta
```


Density functional theory data (PBE) for TaCo2Sb after structural relaxation.

Summary:
D(E_F) = 2.8 states/eV/f.u.

Cell and atoms, written as POSCAR:
```
TaCo2Sb
1.0
4.0879 0.0000 0.0000
0.0000 3.1999 0.0311
0.0000 1.5446 4.5996
Co Sb Ta
2 1 1
direct
0.0000 0.2077 0.9595 Co
0.5000 0.0428 0.2899 Co
0.0000 0.4828 0.4116 Sb
0.5000 0.7668 0.8390 Ta
```


Density functional theory data (PBE) for TaCoSb after structural relaxation.

Summary:
D(E_F) = 1.2 states/eV/f.u.

Cell and atoms, written as POSCAR:
```
TaCoSb
1.0
3.2926 0.0000 0.0000
-1.6463 2.8515 0.0000
0.0000 0.0000 5.8611
Co Sb Ta
1 1 1
direct
0.0000 0.0000 0.9704 Co
0.6667 0.3333 0.3139 Sb
0.3333 0.6667 0.7157 Ta
```


Density functional theory data (PBE) for Ta2CoSb after structural relaxation.

Summary:
D(E_F) = 5.0 states/eV/f.u.

Cell and atoms, written as POSCAR:
```
Ta2CoSb
1.0
8.9242 -0.0350 -0.0206
8.4148 2.9720 -0.0206
8.4148 1.4253 2.6080
Co Sb Ta
1 1 2
direct
0.2500 0.2500 0.2500 Co
0.7500 0.7500 0.7500 Sb
0.9902 0.9902 0.9902 Ta
0.5098 0.5098 0.5098 Ta
```


Density functional theory data (PBE) for Ta4CoSb after structural relaxation.

Summary:
D(E_F) = 5.8 states/eV/f.u.

Cell and atoms, written as POSCAR:
```
Ta4CoSb
1.0
0.0000 3.8581 3.8581
3.8581 0.0000 3.8581
3.8581 3.8581 0.0000
Ta Co Sb
4 1 1
direct
0.8745 0.3752 0.3752 Ta
0.3752 0.3752 0.8745 Ta
0.3752 0.8745 0.3752 Ta
0.3752 0.3752 0.3752 Ta
0.7500 0.7500 0.7500 Co
0.0000 0.0000 0.0000 Sb
```


Density functional theory data (PBE) for TaCo2Sb after structural relaxation.

Summary:
D(E_F) = 3.2 states/eV/f.u.

Cell and atoms, written as POSCAR:
```
TaCo2Sb
1.0
3.2462 0.0000 0.0000
0.0000 3.2478 0.0000
0.0000 0.0000 5.7571
Co Sb Ta
2 1 1
direct
0.0000 0.0000 0.9731 Co
0.0000 0.0000 0.5269 Co
0.5000 0.5000 0.2500 Sb
0.5000 0.5000 0.7500 Ta
```


Density functional theory data (PBE) for Ta2CoSb after structural relaxation.

Summary:
D(E_F) = 2.4 states/eV/f.u.

Cell and atoms, written as POSCAR:
```
Ta2CoSb
1.0
-3.3164 -1.4649 3.7537
-4.8041 -1.9589 0.5640
-0.0892 -4.1919 0.6909
Co Sb Ta
1 1 2
direct
0.2500 0.2500 0.2500 Co
0.7500 0.7500 0.7500 Sb
0.9920 0.9920 0.0079 Ta
0.5080 0.5080 0.4921 Ta
```


Density functional theory data (PBE) for Ta2CoSb after structural relaxation.

Summary:
D(E_F) = 5.0 states/eV/f.u.

Cell and atoms, written as POSCAR:
```
Ta2CoSb
1.0
-0.4097 -2.6794 2.7621
-2.1772 -2.1291 -2.3883
6.7986 -7.0118 -3.0823
Sb Co Ta
2 2 4
direct
0.0000 0.0000 0.0000 Sb
0.7500 0.2500 0.5000 Sb
0.5000 0.5000 0.0000 Co
0.2500 0.7500 0.5000 Co
0.6235 0.1250 0.2500 Ta
0.1265 0.6250 0.2500 Ta
0.3750 0.3765 0.7500 Ta
0.8750 0.8735 0.7500 Ta
```


Density functional theory data (PBE) for TaCoSb3 after structural relaxation.

Summary:
D(E_F) = 8.5 states/eV/f.u.
Excess energy over the best structure of this formula in the dataset = 0 meV per atom

Cell and atoms, written as POSCAR:
```
TaCoSb3
1.0
4.8670 0.0000 0.0000
0.0000 4.8670 0.0000
0.0000 0.0000 4.8670
Sb Co Ta
3 1 1
direct
0.0000 0.5000 0.0000 Sb
0.0000 0.0000 0.5000 Sb
0.5000 0.0000 0.0000 Sb
0.0000 0.0000 0.0000 Co
0.5000 0.5000 0.5000 Ta
```


Density functional theory data (PBE) for Ta2CoSb after structural relaxation.

Summary:
D(E_F) = 3.7 states/eV/f.u.

Cell and atoms, written as POSCAR:
```
Ta2CoSb
1.0
4.3400 0.0000 0.0000
0.0000 3.9404 0.0000
0.0000 0.0000 3.9404
Co Sb Ta
1 1 2
direct
0.5000 0.5000 0.0000 Co
0.5000 0.0000 0.5000 Sb
0.0000 0.0000 0.0000 Ta
0.0000 0.5000 0.5000 Ta
```


Density functional theory data (PBE) for TaCoSb after structural relaxation.

Summary:
D(E_F) = 1.9 states/eV/f.u.

Cell and atoms, written as POSCAR:
```
TaCoSb
1.0
-4.2187 -1.4917 3.5176
-4.6884 -2.9649 0.7490
0.9263 -2.5776 1.5983
Co Sb Ta
1 1 1
direct
0.0150 0.0150 0.9850 Co
0.3445 0.3445 0.6555 Sb
0.6405 0.6405 0.3595 Ta
```


Density functional theory data (PBE) for TaCo2Sb after structural relaxation.

Summary:
D(E_F) = 2.8 states/eV/f.u.

Cell and atoms, written as POSCAR:
```
TaCo2Sb
1.0
4.0971 0.0000 0.0000
0.0000 4.0971 0.0000
2.0485 2.0485 8.0620
Sb Co Ta
2 4 2
direct
0.5000 0.5000 0.0000 Sb
0.2500 0.7500 0.5000 Sb
0.6350 0.1250 0.2500 Co
0.1150 0.6250 0.2500 Co
0.3750 0.3650 0.7500 Co
0.8750 0.8850 0.7500 Co
0.0000 0.0000 0.0000 Ta
0.7500 0.2500 0.5000 Ta
```


Density functional theory data (PBE) for TaCoSb3 after structural relaxation.

Summary:
D(E_F) = 10.2 states/eV/f.u.
Excess energy over the best structure of this formula in the dataset = 145 meV per atom

Cell and atoms, written as POSCAR:
```
TaCoSb3
1.0
5.3254 0.0000 0.0000
0.0000 5.3254 0.0000
0.0000 0.0000 5.3254
Sb Co Ta
3 1 1
direct
0.0000 0.5000 0.0000 Sb
0.0000 0.0000 0.5000 Sb
0.5000 0.0000 0.0000 Sb
0.5000 0.5000 0.5000 Co
0.0000 0.0000 0.0000 Ta
```


Density functional theory data (PBE) for Ta2CoSb after structural relaxation.

Summary:
D(E_F) = 3.6 states/eV/f.u.

Cell and atoms, written as POSCAR:
```
Ta2CoSb
1.0
-1.5443 3.9620 2.9149
-2.5731 1.0155 4.3505
2.5428 0.9336 3.7385
Co Sb Ta
1 1 2
direct
0.5019 0.5019 0.4990 Co
0.7753 0.7753 0.7243 Sb
0.9990 0.9990 0.0010 Ta
0.2239 0.2239 0.2757 Ta
```


Density functional theory data (PBE) for Ta2CoSb after structural relaxation.

Summary:
D(E_F) = 4.9 states/eV/f.u.

Cell and atoms, written as POSCAR:
```
Ta2CoSb
1.0
4.5858 0.0000 0.0000
2.2929 3.9714 0.0000
2.2929 1.3238 3.7443
Co Sb Ta
1 1 2
direct
0.5000 0.5000 0.5000 Co
0.7500 0.7500 0.7500 Sb
0.0000 0.0000 0.0000 Ta
0.2500 0.2500 0.2500 Ta
```


Density functional theory data (PBE) for TaCo3Sb after structural relaxation.

Summary:
D(E_F) = 8.3 states/eV/f.u.

Cell and atoms, written as POSCAR:
```
TaCo3Sb
1.0
4.4817 0.0000 0.0000
0.0000 4.4817 0.0000
0.0000 0.0000 4.4817
Sb Co Ta
1 3 1
direct
0.0000 0.0000 0.0000 Sb
0.0000 0.5000 0.0000 Co
0.0000 0.0000 0.5000 Co
0.5000 0.0000 0.0000 Co
0.5000 0.5000 0.5000 Ta
```


Density functional theory data (PBE) for Ta2CoSb after structural relaxation.

Summary:
D(E_F) = 2.3 states/eV/f.u.

Cell and atoms, written as POSCAR:
```
Ta2CoSb
1.0
-1.6959 0.8156 -2.8214
2.7557 -0.6849 -1.8544
-1.8035 -5.7172 -0.5686
Co Sb Ta
1 1 2
direct
0.0000 0.0000 0.4757 Co
0.5000 0.5000 0.7448 Sb
0.0000 0.0000 0.0049 Ta
0.5000 0.5000 0.2746 Ta
```


Density functional theory data (PBE) for TaCoSb after structural relaxation.

Summary:
D(E_F) = 2.5 states/eV/f.u.

Cell and atoms, written as POSCAR:
```
TaCoSb
1.0
-3.2215 -2.4067 -0.9935
2.9934 -1.4591 2.4635
-1.7094 1.1497 2.7581
Co Sb Ta
1 1 1
direct
0.0000 0.0000 0.0409 Co
0.3333 0.6667 0.2364 Sb
0.6667 0.3333 0.7227 Ta
```


Density functional theory data (PBE) for TaCo2Sb after structural relaxation.

Summary:
D(E_F) = 2.8 states/eV/f.u.

Cell and atoms, written as POSCAR:
```
TaCo2Sb
1.0
-1.6091 0.2097 4.5220
1.0173 -2.3950 4.0387
2.4507 2.0725 2.1487
Co Sb Ta
2 1 1
direct
0.0000 0.0000 0.0251 Co
0.7563 0.7563 0.7139 Co
0.4955 0.4955 0.5284 Sb
0.2481 0.2481 0.2325 Ta
```


Density functional theory data (PBE) for Ta2CoSb after structural relaxation.

Summary:
D(E_F) = 4.6 states/eV/f.u.

Cell and atoms, written as POSCAR:
```
Ta2CoSb
1.0
8.7443 -0.0013 -0.0008
8.1880 3.0693 -0.0008
8.1880 1.4836 2.6869
Co Sb Ta
1 1 2
direct
0.5061 0.5061 0.5061 Co
0.7562 0.7562 0.7562 Sb
0.9974 0.9974 0.9974 Ta
0.2404 0.2404 0.2404 Ta
```


Density functional theory data (PBE) for TaCoSb after structural relaxation.

Summary:
D(E_F) = 3.4 states/eV/f.u.

Cell and atoms, written as POSCAR:
```
TaCoSb
1.0
-2.6426 -3.2277 0.6449
-0.5631 -1.5204 3.8973
-3.6593 0.6366 2.0055
Sb Co Ta
1 1 1
direct
0.5000 0.5000 0.5000 Sb
0.7500 0.7500 0.7500 Co
0.0000 0.0000 0.0000 Ta
```


Density functional theory data (PBE) for TaCo2Sb after structural relaxation.

Summary:
D(E_F) = 2.3 states/eV/f.u.

Cell and atoms, written as POSCAR:
```
TaCo2Sb
1.0
-3.4165 -1.4252 -2.3143
-2.4163 -3.6312 -0.1881
-3.8054 1.0593 2.8892
Co Sb Ta
2 1 1
direct
0.9903 0.9903 0.0375 Co
0.5097 0.5097 0.4625 Co
0.7500 0.7500 0.7500 Sb
0.2500 0.2500 0.2500 Ta
```


Density functional theory data (PBE) for TaCoSb after structural relaxation.

Summary:
D(E_F) = 2.2 states/eV/f.u.

Cell and atoms, written as POSCAR:
```
TaCoSb
1.0
5.6586 0.0069 0.0000
3.8848 4.1144 0.0000
-4.7717 -2.0607 2.2371
Co Sb Ta
1 1 1
direct
0.0179 0.0179 0.0000 Co
0.3430 0.3430 0.0000 Sb
0.6391 0.6391 0.0000 Ta
```


Density functional theory data (PBE) for TaCo2Sb after structural relaxation.

Summary:
D(E_F) = 2.5 states/eV/f.u.

Cell and atoms, written as POSCAR:
```
TaCo2Sb
1.0
4.0657 -0.0176 0.0000
0.0171 4.0657 0.0000
0.0000 0.0000 3.5939
Co Sb Ta
2 1 1
direct
0.0000 0.0000 0.0000 Co
0.5000 0.5000 0.0000 Co
0.5000 0.0000 0.5000 Sb
0.0000 0.5000 0.5000 Ta
```


| no. | volume (A^3/atom) | uncorrected formation energy (eV per atom) |
| --- | --- | --- |
| 1 | 17.2 | 0.20 |
| 2 | 20.3 | 0.47 |
| 3 | 19.7 | 0.59 |
| 4 | 17.0 | 0.14 |
| 5 | 15.2 | 0.12 |
| 6 | 17.2 | 0.18 |
| 7 | 17.3 | 0.15 |
| 8 | 15.0 | -0.01 |
| 9 | 18.3 | 0.22 |
| 10 | 17.6 | 0.35 |
| 11 | 19.1 | 0.60 |
| 12 | 15.2 | -0.05 |
| 13 | 16.7 | -0.01 |
| 14 | 18.5 | 0.54 |
| 15 | 23.1 | 0.89 |
| 16 | 16.8 | 0.05 |
| 17 | 17.3 | 0.15 |
| 18 | 16.9 | 0.41 |
| 19 | 30.2 | 1.04 |
| 20 | 17.0 | 0.07 |
| 21 | 17.0 | 0.32 |
| 22 | 18.0 | 1.38 |
| 23 | 17.3 | 0.06 |
| 24 | 17.1 | 0.11 |
| 25 | 14.9 | 0.05 |
| 26 | 18.0 | 0.24 |
| 27 | 17.7 | -0.13 |
| 28 | 15.5 | 0.10 |
| 29 | 17.3 | 0.15 |
| 30 | 14.9 | 0.01 |